No. 1
PBE CaSm2Ge2, optimized geometry; total magnetization = 0.0 μB/cell; symmetry = P4/mbm; calculated volume = 260.4 Å³ per cell; energy of formation from the pure elements = -0.7548 eV/atom
1.0
-2.8573 -0.3161 3.3084
4.2815 -5.5728 3.1652
3.9784 5.2954 3.9418
Ca Sm Ge
2 4 4
Direct
0.0000 0.0000 0.0000 Ca
0.0000 0.5000 0.5000 Ca
0.5000 0.1766 0.6766 Sm
0.5000 0.6766 0.8234 Sm
0.5000 0.8234 0.3234 Sm
0.5000 0.3234 0.1766 Sm
0.0000 0.3820 0.8820 Ge
0.0000 0.8820 0.6180 Ge
0.0000 0.6180 0.1180 Ge
0.0000 0.1180 0.3820 Ge

---

No. 2
PBE Ca2Sm2Ge3, optimized geometry; total magnetization = 0.0 μB/cell; symmetry = C2/m; calculated volume = 192.6 Å³ per cell; energy of formation from the pure elements = -0.5690 eV/atom
1.0
4.2895 0.0000 0.0000
-2.1448 6.7147 0.0366
0.0000 -3.5313 6.6680
Ca Sm Ge
2 2 3
Direct
0.8891 0.7781 0.2368 Ca
0.1109 0.2219 0.7632 Ca
0.8422 0.6844 0.7287 Sm
0.1578 0.3156 0.2713 Sm
0.5000 0.0000 0.0000 Ge
0.5856 0.1711 0.4549 Ge
0.4144 0.8289 0.5451 Ge

---

No. 3
PBE CaSmGe2, optimized geometry; total magnetization = 0.0 μB/cell; symmetry = Amm2; calculated volume = 98.1 Å³ per cell; energy of formation from the pure elements = -0.7431 eV/atom
1.0
-1.6232 1.4692 3.9030
-3.3719 -2.0626 -0.6259
2.9907 -5.0676 0.5882
Ca Sm Ge
1 1 2
Direct
0.4440 0.5000 0.4265 Ca
0.7207 0.0000 0.9808 Sm
0.1626 0.5000 0.8643 Ge
0.0037 0.0000 0.5463 Ge

---

No. 4
PBE Ca3Sm3Ge4, optimized geometry; total magnetization = 0.0 μB/cell; symmetry = Amm2; calculated volume = 262.6 Å³ per cell; energy of formation from the pure elements = -0.7087 eV/atom
1.0
4.3877 0.0000 0.0000
0.0000 7.7365 -0.0711
0.0000 -0.0031 7.7369
Ca Sm Ge
3 3 4
Direct
0.0000 0.4967 0.9983 Ca
0.0000 0.0017 0.5033 Ca
0.5000 0.1753 0.8247 Ca
0.5000 0.8253 0.1747 Sm
0.5000 0.3248 0.3236 Sm
0.5000 0.6764 0.6752 Sm
0.0000 0.6207 0.3793 Ge
0.0000 0.3876 0.6124 Ge
0.0000 0.8765 0.8850 Ge
0.0000 0.1150 0.1235 Ge